No. 1
Here is a relaxed structure of KMoS2Cl from Alexandria. Energies are from PBE.

It has space group P4/mmm (No. 123), with a = 5.506 Å, b = 5.506 Å, c = 5.365 Å, α = 90.00°, β = 90.00° and γ = 90.00°. The asymmetric unit holds K at (0.000, 0.000, 0.000), Mo at (0.500, 0.500, 0.500), S at (0.000, 0.500, 0.000) and Cl at (0.000, 0.000, 0.500).

Its total DFT energy (no corrections) is -15.860 eV for the cell shown. Its crystal system is tetragonal. The size of the total moment comes out at 1.999 μB/cell.

No. 2
Here is a relaxed structure of Tb2GaCo from Alexandria. Energies are from PBE.

It has space group P2_1/m (No. 11), with a = 5.819 Å, b = 4.231 Å, c = 7.588 Å, α = 90.00°, β = 110.33° and γ = 90.00°. The asymmetric unit holds Tb at (0.177, 0.250, 0.413), Tb at (0.271, 0.750, 0.064), Ga at (0.369, 0.750, 0.712) and Co at (0.166, 0.250, 0.781).

Its total DFT energy (no corrections) is -41.817 eV for the cell shown. Its crystal system is monoclinic. The energy of formation from the pure elements comes out at -0.379 eV/atom. The size of the total moment comes out at 0.000 μB/cell.

No. 3
Here is a relaxed structure of Tc2MoW from Alexandria. Energies are from PBE.

It has space group Pm (No. 6), with a = 2.736 Å, b = 4.411 Å, c = 5.197 Å, α = 90.00°, β = 101.20° and γ = 90.00°. The asymmetric unit holds Tc at (0.000, 0.000, 0.000), Tc at (0.318, 0.500, 0.737), Mo at (0.556, 0.000, 0.500) and W at (0.777, 0.500, 0.238).

Its total DFT energy (no corrections) is -44.149 eV for the cell shown. Its crystal system is monoclinic. The energy of formation from the pure elements comes out at 0.092 eV/atom. The size of the total moment comes out at 0.000 μB/cell.

No. 4
Here is a relaxed structure of PmCdRhO4 from Alexandria. Energies are from PBE.

It has space group Imma (No. 74), with a = 6.760 Å, b = 7.205 Å, c = 8.389 Å, α = 90.00°, β = 90.00° and γ = 90.00°. The asymmetric unit holds Pm at (0.000, 0.000, 0.000), Cd at (0.000, 0.250, 0.401), Rh at (0.250, 0.250, 0.750), O at (0.000, 0.067, 0.722) and O at (0.215, 0.250, 0.999).

Its total DFT energy (no corrections) is -178.155 eV for the cell shown. Its crystal system is orthorhombic. The size of the total moment comes out at 0.000 μB/cell.

No. 5
Here is a relaxed structure of CrSbAs2 from Alexandria. Energies are from PBE.

It has space group C2/m (No. 12), with a = 5.667 Å, b = 7.771 Å, c = 4.802 Å, α = 90.00°, β = 126.01° and γ = 90.00°. The asymmetric unit holds Cr at (0.000, 0.000, 0.000), Sb at (0.000, 0.500, 0.000) and As at (0.250, 0.250, 0.500).

Its total DFT energy (no corrections) is -44.236 eV for the cell shown. Its crystal system is monoclinic. The size of the total moment comes out at 6.651 μB/cell.

No. 6
Here is a relaxed structure of Li3TlRh2 from Alexandria. Energies are from PBE.

It has space group Fddd (No. 70, origin choice 2), with a = 6.192 Å, b = 6.418 Å, c = 18.755 Å, α = 90.00°, β = 90.00° and γ = 90.00°. The asymmetric unit holds Li at (0.125, 0.125, 0.125), Li at (0.125, 0.125, 0.288), Tl at (0.125, 0.125, 0.625) and Rh at (0.125, 0.125, 0.466).

Its total DFT energy (no corrections) is -191.772 eV for the cell shown. Its crystal system is orthorhombic. The energy of formation from the pure elements comes out at -0.193 eV/atom. The size of the total moment comes out at 0.000 μB/cell.

No. 7
Here is a relaxed structure of Al2InNiN from Alexandria. Energies are from PBE.

It has space group P4/mmm (No. 123), with a = 5.030 Å, b = 5.030 Å, c = 3.398 Å, α = 90.00°, β = 90.00° and γ = 90.00°. The asymmetric unit holds Al at (0.000, 0.500, 0.000), In at (0.000, 0.000, 0.500), Ni at (0.500, 0.500, 0.000) and N at (0.500, 0.500, 0.500).

Its total DFT energy (no corrections) is -22.478 eV for the cell shown. Its crystal system is tetragonal. The size of the total moment comes out at 0.000 μB/cell.

No. 8
Here is a relaxed structure of SrNd2PuSe4 from Alexandria. Energies are from PBE.

It has space group P2/m (No. 10), with a = 7.376 Å, b = 4.239 Å, c = 7.399 Å, α = 90.00°, β = 109.31° and γ = 90.00°. The asymmetric unit holds Sr at (0.000, 0.000, 0.000), Nd at (0.000, 0.500, 0.500), Nd at (0.500, 0.000, 0.500), Pu at (0.500, 0.500, 0.000), Se at (0.256, 0.500, 0.253) and Se at (0.257, 0.000, 0.752).

Its total DFT energy (no corrections) is -53.831 eV for the cell shown. Its crystal system is monoclinic. The size of the total moment comes out at 5.924 μB/cell.

No. 9
Here is a relaxed structure of RbAuF2 from Alexandria. Energies are from PBE.

It has space group Fm-3m (No. 225), with a = 6.559 Å, b = 6.559 Å, c = 6.559 Å, α = 90.00°, β = 90.00° and γ = 90.00°. The asymmetric unit holds Rb at (0.000, 0.000, 0.000), Au at (0.000, 0.000, 0.500) and F at (0.250, 0.250, 0.250).

Its total DFT energy (no corrections) is -51.837 eV for the cell shown. Its crystal system is cubic. The size of the total moment comes out at 0.000 μB/cell.

No. 10
Here is a relaxed structure of Er7Al5Tl from Alexandria. Energies are from PBE.

It has space group Imm2 (No. 44), with a = 6.210 Å, b = 9.962 Å, c = 10.508 Å, α = 90.00°, β = 90.00° and γ = 90.00°. The asymmetric unit holds Er at (0.000, 0.000, 0.000), Er at (0.000, 0.000, 0.356), Er at (0.000, 0.321, 0.612), Er at (0.000, 0.324, 0.105), Er at (0.000, 0.500, 0.350), Al at (0.000, 0.500, 0.858), Al at (0.227, 0.248, 0.864) and Tl at (0.000, 0.000, 0.667).

Its total DFT energy (no corrections) is -111.596 eV for the cell shown. Its crystal system is orthorhombic. The energy of formation from the pure elements comes out at -0.214 eV/atom. The size of the total moment comes out at 0.000 μB/cell.